Below is a relaxed structure of Ta10Si2MoSe8, with properties calculated at the GGA-PBE level.

Computed properties:
raw formation energy: -0.671 eV/atom
M_tot: 0.000 μB/atom
calculated volume: 19.41 Å³/atom
DOS at the Fermi energy: 6.71 states/eV/f.u.
ρ: 10.6 g/cm³

abc: 11.982 19.490 3.491
angles: 90.00 90.00 90.00
Space group Pnnm (No. 58)
Unique sites:
Ta1 0.051 0.241 0.000 [4 per cell]
Ta2 0.064 0.113 0.500 [4 per cell]
Ta3 0.159 0.786 0.500 [4 per cell]
Ta4 0.175 0.953 0.500 [4 per cell]
Ta5 0.182 0.355 0.500 [4 per cell]
Si1 0.091 0.871 0.000 [4 per cell]
Mo1 0.000 0.000 0.000 [2 per cell]
Se1 0.036 0.673 0.500 [4 per cell]
Se2 0.112 0.446 0.000 [4 per cell]
Se3 0.210 0.056 0.000 [4 per cell]
Se4 0.219 0.211 0.500 [4 per cell]